First-principles (PBE-GGA) data for a relaxed Ac8BiTe4Ir3 crystal, as listed in the Alexandria database.

Cell: 9.1180 9.1180 23.7760 Å, 90.00 90.00 120.00°
Space group R-3m (No. 166, hexagonal axes)
One atom of each set of equivalent atoms:
Ac: 0.0000 0.0000 0.2373 (multiplicity 6)
Ac: 0.0232 0.5116 0.7620 (multiplicity 18)
Bi: 0.0000 0.0000 0.5000 (multiplicity 3)
Te: 0.0000 0.0000 0.0000 (multiplicity 3)
Te: 0.0000 0.5000 0.0000 (multiplicity 9)
Ir: 0.0000 0.5000 0.5000 (multiplicity 9)

## Properties
The raw formation energy is -1.11 eV per atom. As for the total energy: -0.4299 Ry per atom.